No. 1
# NaScSnHg PBE optimized geometry
data_NaScSnHg
_chemical_formula_sum 'Na4 Sc4 Sn4 Hg4'
_cell_length_a 7.206
_cell_length_b 7.206
_cell_length_c 7.206
_cell_angle_alpha 90.00
_cell_angle_beta 90.00
_cell_angle_gamma 90.00
_space_group_name_H-M_alt 'F -4 3 m'
_space_group_IT_number 216
_space_group_name_Hall 'F -4 2 3'
loop_
_atom_site_label
_atom_site_fract_x
_atom_site_fract_y
_atom_site_fract_z
Na1 0.000 0.000 0.000
Sc1 0.000 0.000 0.500
Sn1 0.250 0.250 0.250
Hg1 0.250 0.250 0.750
# volume	23.39	Å³ per atom
# DFT formation energy	-0.332	eV/atom

---

No. 2
# NaSc2TaHg PBE optimized geometry
data_NaSc2TaHg
_chemical_formula_sum 'Na1 Sc2 Ta1 Hg1'
_cell_length_a 5.321
_cell_length_b 5.321
_cell_length_c 4.955
_cell_angle_alpha 90.00
_cell_angle_beta 90.00
_cell_angle_gamma 90.00
_space_group_name_H-M_alt 'P 4/m m m'
_space_group_IT_number 123
_space_group_name_Hall '-P 4 2'
loop_
_atom_site_label
_atom_site_fract_x
_atom_site_fract_y
_atom_site_fract_z
Na1 0.000 0.000 0.000
Sc1 0.000 0.500 0.500
Ta1 0.500 0.500 0.000
Hg1 0.000 0.000 0.500
# volume	28.06	Å³ per atom
# DFT formation energy	1.113	eV/atom

---

No. 3
# NaScHgTe3 PBE optimized geometry
data_NaScHgTe3
_chemical_formula_sum 'Na2 Sc2 Hg2 Te6'
_cell_length_a 8.533
_cell_length_b 4.306
_cell_length_c 10.487
_cell_angle_alpha 90.00
_cell_angle_beta 105.35
_cell_angle_gamma 90.00
_space_group_name_H-M_alt 'P 1 21/m 1'
_space_group_IT_number 11
_space_group_name_Hall '-P 2yb'
loop_
_atom_site_label
_atom_site_fract_x
_atom_site_fract_y
_atom_site_fract_z
Na1 0.213 0.250 0.251
Sc1 0.331 0.750 0.855
Hg1 0.087 0.250 0.606
Te1 0.090 0.250 0.872
Te2 0.280 0.750 0.546
Te3 0.434 0.750 0.145
# volume	30.96	Å³ per atom
# energy relative to the elements, uncorrected	-0.761	eV/atom

---

No. 4
# NaScTlHg PBE optimized geometry
data_NaScTlHg
_chemical_formula_sum 'Na1 Sc1 Tl1 Hg1'
_cell_length_a 3.602
_cell_length_b 3.602
_cell_length_c 7.512
_cell_angle_alpha 90.00
_cell_angle_beta 90.00
_cell_angle_gamma 90.00
_space_group_name_H-M_alt 'P 4 m m'
_space_group_IT_number 99
_space_group_name_Hall 'P 4 -2'
loop_
_atom_site_label
_atom_site_fract_x
_atom_site_fract_y
_atom_site_fract_z
Na1 0.000 0.000 0.000
Sc1 0.000 0.000 0.524
Tl1 0.500 0.500 0.278
Hg1 0.500 0.500 0.738
# volume	24.37	Å³ per atom
# distance to the lowest polymorph of the same formula	0	meV/atom
# DFT formation energy	-0.224	eV/atom

---

No. 5
# NaScTlHg PBE optimized geometry
data_NaScTlHg
_chemical_formula_sum 'Na4 Sc4 Tl4 Hg4'
_cell_length_a 7.207
_cell_length_b 7.207
_cell_length_c 7.207
_cell_angle_alpha 90.00
_cell_angle_beta 90.00
_cell_angle_gamma 90.00
_space_group_name_H-M_alt 'F -4 3 m'
_space_group_IT_number 216
_space_group_name_Hall 'F -4 2 3'
loop_
_atom_site_label
_atom_site_fract_x
_atom_site_fract_y
_atom_site_fract_z
Na1 0.000 0.000 0.000
Sc1 0.000 0.000 0.500
Tl1 0.250 0.250 0.250
Hg1 0.250 0.250 0.750
# volume	23.40	Å³ per atom
# distance to the lowest polymorph of the same formula	32	meV/atom
# DFT formation energy	-0.192	eV/atom

---

No. 6
# NaScZnHg PBE optimized geometry
data_NaScZnHg
_chemical_formula_sum 'Na4 Sc4 Zn4 Hg4'
_cell_length_a 6.947
_cell_length_b 6.947
_cell_length_c 6.947
_cell_angle_alpha 90.00
_cell_angle_beta 90.00
_cell_angle_gamma 90.00
_space_group_name_H-M_alt 'F -4 3 m'
_space_group_IT_number 216
_space_group_name_Hall 'F -4 2 3'
loop_
_atom_site_label
_atom_site_fract_x
_atom_site_fract_y
_atom_site_fract_z
Na1 0.000 0.000 0.000
Sc1 0.000 0.000 0.500
Zn1 0.250 0.250 0.250
Hg1 0.250 0.250 0.750
# volume	20.95	Å³ per atom
# DFT formation energy	-0.126	eV/atom

---

Number 1: total energy -3.32 eV per atom. Number 2: total energy -4.11 eV per atom. Number 3: total energy -3.66 eV per atom. Number 4: total energy -2.80 eV per atom. Number 5: total energy -2.77 eV per atom. Number 6: total energy -2.43 eV per atom.